(1)
NaTcAsO | PBE-GGA | optimized geometry

a = 3.2138 Å, b = 7.2023 Å, c = 5.8541 Å
α = 90.00°, β = 90.00°, γ = 90.00°
With the nearest neighbours (Å) after each atom.
Fractional coordinates of all 8 atoms:
Na (0.0000, 0.1114, 0.0000)  2 O 2.17
Na (0.0000, 0.8886, 0.5000)  2 O 2.17
Tc (0.5000, 0.4854, 0.7262)  2 O 1.99
Tc (0.5000, 0.5146, 0.2262)  2 O 1.99
As (0.0000, 0.2997, 0.4843)  4 Tc 2.53-2.69
As (0.0000, 0.7003, 0.9843)  4 Tc 2.53-2.69
O (0.5000, 0.3144, 0.9925)  2 Tc 1.99, 2 Na 2.17
O (0.5000, 0.6856, 0.4925)  2 Tc 1.99, 2 Na 2.17

Results
Energy relative to the lowest polymorph listed for this composition: 0.000 eV/atom
SG: Pmc2_1, No. 26
Crystal system: orthorhombic

---

(2)
NaTcAsO | PBE-GGA | optimized geometry

a = 3.4833 Å, b = 3.4833 Å, c = 9.4859 Å
α = 90.00°, β = 90.00°, γ = 90.00°
With the nearest neighbours (Å) after each atom.
Fractional coordinates of all 8 atoms:
Na (0.2500, 0.7500, 0.0000)  4 Na 2.46
Na (0.7500, 0.2500, 0.0000)  4 Na 2.46
Tc (0.2500, 0.2500, 0.3678)  4 O 2.15
Tc (0.7500, 0.7500, 0.6322)  4 O 2.15
As (0.2500, 0.2500, 0.7610)  4 Tc 2.75, 4 Na 2.86, 4 O 3.03
As (0.7500, 0.7500, 0.2390)  4 Tc 2.75, 4 Na 2.86, 4 O 3.03
O (0.2500, 0.7500, 0.5000)  4 Tc 2.15
O (0.7500, 0.2500, 0.5000)  4 Tc 2.15

Results
Energy relative to the lowest polymorph listed for this composition: 0.617 eV/atom
SG: P4/nmm, No. 129
Crystal system: tetragonal

---

(3)
NaTmAsO | PBE-GGA | optimized geometry

a = 5.6215 Å, b = 5.6215 Å, c = 4.9076 Å
α = 90.00°, β = 90.00°, γ = 90.00°
With the nearest neighbours (Å) after each atom.
Fractional coordinates of all 8 atoms:
Na (0.2500, 0.2500, 0.0027)  2 As 2.45
Na (0.7500, 0.7500, 0.9973)  2 As 2.45
Tm (0.2500, 0.7500, 0.5000)  2 O 2.45
Tm (0.7500, 0.2500, 0.5000)  2 O 2.45
As (0.2500, 0.2500, 0.5028)  2 Na 2.45
As (0.7500, 0.7500, 0.4972)  2 Na 2.45
O (0.2500, 0.7500, 0.0000)  2 Tm 2.45
O (0.7500, 0.2500, 0.0000)  2 Tm 2.45

Results
Energy relative to the lowest polymorph listed for this composition: 0.561 eV/atom
SG: P4/nmm, No. 129
Crystal system: tetragonal

---

(4)
NaTmAsO | PBE-GGA | optimized geometry

a = 3.6433 Å, b = 8.0978 Å, c = 6.2606 Å
α = 90.00°, β = 90.00°, γ = 90.00°
With the nearest neighbours (Å) after each atom.
Fractional coordinates of all 8 atoms:
Na (0.0000, 0.2293, 0.0000)  2 O 2.42
Na (0.0000, 0.7707, 0.5000)  2 O 2.42
Tm (0.5000, 0.3729, 0.5652)  2 O 2.07-2.08
Tm (0.5000, 0.6271, 0.0652)  2 O 2.07-2.08
As (0.0000, 0.1226, 0.4552)  2 Tm 2.81, 2 Na 2.86-2.98
As (0.0000, 0.8774, 0.9552)  2 Tm 2.81, 2 Na 2.86-2.98
O (0.5000, 0.4077, 0.8933)  2 Tm 2.07-2.08
O (0.5000, 0.5923, 0.3933)  2 Tm 2.07-2.08

Results
Energy relative to the lowest polymorph listed for this composition: 0.240 eV/atom
SG: Pmc2_1, No. 26
Crystal system: orthorhombic

---

(5)
NaTmAsO | PBE-GGA | optimized geometry

a = 3.8406 Å, b = 3.8406 Å, c = 10.3142 Å
α = 90.00°, β = 90.00°, γ = 90.00°
With the nearest neighbours (Å) after each atom.
Fractional coordinates of all 8 atoms:
Na (0.2500, 0.7500, 0.0000)  4 Na 2.72, 4 As 2.92
Na (0.7500, 0.2500, 0.0000)  4 Na 2.72, 4 As 2.92
Tm (0.2500, 0.2500, 0.3957)  4 O 2.20
Tm (0.7500, 0.7500, 0.6043)  4 O 2.20
As (0.2500, 0.2500, 0.7868)  4 Na 2.92
As (0.7500, 0.7500, 0.2132)  4 Na 2.92
O (0.2500, 0.7500, 0.5000)  4 Tm 2.20
O (0.7500, 0.2500, 0.5000)  4 Tm 2.20

Results
Energy relative to the lowest polymorph listed for this composition: 0.000 eV/atom
SG: P4/nmm, No. 129
Crystal system: tetragonal

---

(6)
NaTmAsO | PBE-GGA | optimized geometry

a = 3.4477 Å, b = 8.2693 Å, c = 5.9677 Å
α = 90.00°, β = 90.00°, γ = 90.00°
With the nearest neighbours (Å) after each atom.
Fractional coordinates of all 8 atoms:
Na (0.0000, 0.0651, 0.0000)  2 O 2.24-2.28
Na (0.0000, 0.9349, 0.5000)  2 O 2.24-2.28
Tm (0.5000, 0.3211, 0.3686)  2 O 2.08
Tm (0.5000, 0.6789, 0.8686)  2 O 2.08
As (0.5000, 0.3332, 0.8567)  3 Tm 2.86-3.06, 2 Na 2.94
As (0.5000, 0.6668, 0.3567)  3 Tm 2.86-3.06, 2 Na 2.94
O (0.0000, 0.1818, 0.3457)  2 Tm 2.08, 2 Na 2.24-2.28
O (0.0000, 0.8182, 0.8457)  2 Tm 2.08, 2 Na 2.24-2.28

Results
Energy relative to the lowest polymorph listed for this composition: 0.080 eV/atom
SG: Pmc2_1, No. 26
Crystal system: orthorhombic

---

(7)
NaTmAsO4 | PBE-GGA | optimized geometry

a = 8.6992 Å, b = 8.6992 Å, c = 8.6992 Å
α = 37.47°, β = 37.47°, γ = 37.47°
With the nearest neighbours (Å) after each atom.
Fractional coordinates of all 14 atoms:
Na (0.2129, 0.2129, 0.2129)  1 O 2.12
Na (0.7871, 0.7871, 0.7871)  1 O 2.12
Tm (0.3461, 0.3461, 0.3461)  6 O 2.17-2.26
Tm (0.6540, 0.6540, 0.6540)  6 O 2.17-2.26
As (0.0562, 0.0562, 0.0562)  1 O 1.68
As (0.9438, 0.9438, 0.9438)  1 O 1.68
O (0.0155, 0.7277, 0.4005)  1 As 1.90
O (0.1255, 0.1255, 0.1255)  1 As 1.68
O (0.2723, 0.5995, 0.9845)  1 As 1.90
O (0.4005, 0.0155, 0.7277)  1 As 1.90
O (0.5995, 0.9845, 0.2723)  1 As 1.90
O (0.7277, 0.4005, 0.0155)  1 As 1.90
O (0.8745, 0.8745, 0.8745)  1 As 1.68
O (0.9845, 0.2723, 0.5995)  1 As 1.90

Results
Total DFT energy (no corrections): -6.40 eV per atom
SG: R-3, No. 148
Crystal system: trigonal

---

(8)
NaZnAsO | PBE-GGA | optimized geometry

a = 3.3214 Å, b = 7.0752 Å, c = 5.5670 Å
α = 90.00°, β = 90.00°, γ = 90.00°
With the nearest neighbours (Å) after each atom.
Fractional coordinates of all 8 atoms:
Na (0.0000, 0.1380, 0.0000)  4 O 2.32-2.44
Na (0.0000, 0.8620, 0.5000)  4 O 2.32-2.44
Zn (0.5000, 0.1844, 0.4734)  2 O 1.91-1.93
Zn (0.5000, 0.8156, 0.9734)  2 O 1.91-1.93
As (0.0000, 0.4525, 0.4375)  2 Zn 2.53
As (0.0000, 0.5475, 0.9375)  2 Zn 2.53
O (0.5000, 0.0227, 0.7474)  2 Zn 1.91-1.93
O (0.5000, 0.9773, 0.2474)  2 Zn 1.91-1.93

Results
Energy relative to the lowest polymorph listed for this composition: 0.000 eV/atom
SG: Pmc2_1, No. 26
Crystal system: orthorhombic

---

(9)
NaZnAsO | PBE-GGA | optimized geometry

a = 4.2367 Å, b = 4.2367 Å, c = 6.6476 Å
α = 90.00°, β = 90.00°, γ = 90.00°
With the nearest neighbours (Å) after each atom.
Fractional coordinates of all 8 atoms:
Na (0.2500, 0.2500, 0.1374)  4 O 2.31
Na (0.7500, 0.7500, 0.8626)  4 O 2.31
Zn (0.2500, 0.7500, 0.5000)  4 As 2.60
Zn (0.7500, 0.2500, 0.5000)  4 As 2.60
As (0.2500, 0.2500, 0.7272)  4 Zn 2.60, 1 Na 2.73, 4 O 2.79
As (0.7500, 0.7500, 0.2728)  4 Zn 2.60, 1 Na 2.73, 4 O 2.79
O (0.2500, 0.7500, 0.0000)  4 Na 2.31
O (0.7500, 0.2500, 0.0000)  4 Na 2.31

Results
Energy relative to the lowest polymorph listed for this composition: 0.570 eV/atom
SG: P4/nmm, No. 129
Crystal system: tetragonal

---

(10)
NaZnAsO | PBE-GGA | optimized geometry

a = 3.9126 Å, b = 3.9126 Å, c = 9.7536 Å
α = 90.00°, β = 90.00°, γ = 90.00°
With the nearest neighbours (Å) after each atom.
Fractional coordinates of all 8 atoms:
Na (0.2500, 0.7500, 0.0000)  4 Na 2.77, 4 As 2.97
Na (0.7500, 0.2500, 0.0000)  4 Na 2.77, 4 As 2.97
Zn (0.2500, 0.2500, 0.4460)  4 O 2.03
Zn (0.7500, 0.7500, 0.5540)  4 O 2.03
As (0.2500, 0.2500, 0.7704)  4 Na 2.97, 1 Zn 3.16, 4 O 3.28
As (0.7500, 0.7500, 0.2296)  4 Na 2.97, 1 Zn 3.16, 4 O 3.28
O (0.2500, 0.7500, 0.5000)  4 Zn 2.03
O (0.7500, 0.2500, 0.5000)  4 Zn 2.03

Results
Energy relative to the lowest polymorph listed for this composition: 0.632 eV/atom
SG: P4/nmm, No. 129
Crystal system: tetragonal

---

(11)
NaZnAsO4 | PBE-GGA | optimized geometry

a = 9.2333 Å, b = 9.2333 Å, c = 9.2333 Å
α = 31.38°, β = 31.38°, γ = 31.38°
With the nearest neighbours (Å) after each atom.
Fractional coordinates of all 14 atoms:
Na (0.2136, 0.2136, 0.2136)  1 O 2.14
Na (0.7864, 0.7864, 0.7864)  1 O 2.14
Zn (0.3378, 0.3378, 0.3378)  6 O 2.06-2.13
Zn (0.6622, 0.6622, 0.6622)  6 O 2.06-2.13
As (0.0687, 0.0687, 0.0687)  4 O 1.67-1.74
As (0.9313, 0.9313, 0.9313)  4 O 1.67-1.74
O (0.0345, 0.3826, 0.7251)  1 As 1.74
O (0.1322, 0.1322, 0.1322)  1 As 1.67
O (0.2749, 0.9655, 0.6174)  1 As 1.74
O (0.3826, 0.7251, 0.0345)  1 As 1.74
O (0.6174, 0.2749, 0.9655)  1 As 1.74
O (0.7251, 0.0345, 0.3826)  1 As 1.74
O (0.8678, 0.8678, 0.8678)  1 As 1.67
O (0.9655, 0.6174, 0.2749)  1 As 1.74

Results
Energy relative to the lowest polymorph listed for this composition: 0.053 eV/atom
SG: R-3, No. 148
Crystal system: trigonal

---

(12)
NaZnAsO4 | PBE-GGA | optimized geometry

a = 8.9745 Å, b = 8.9745 Å, c = 8.0038 Å
α = 90.00°, β = 90.00°, γ = 120.00°
With the nearest neighbours (Å) after each atom.
Fractional coordinates of all 42 atoms:
Na (0.0000, 0.0000, 0.0000)  6 O 2.48-2.73
Na (0.0000, 0.0000, 0.5000)  6 O 2.48-2.73
Na (0.3333, 0.6667, 0.0464)  6 O 2.27-2.47
Na (0.3333, 0.6667, 0.4619)  6 O 2.36-2.44
Na (0.6667, 0.3333, 0.5464)  6 O 2.27-2.47
Na (0.6667, 0.3333, 0.9619)  6 O 2.36-2.44
Zn (0.0149, 0.6740, 0.1724)  4 O 1.95-1.99
Zn (0.3260, 0.3409, 0.1724)  4 O 1.95-1.99
Zn (0.3409, 0.0149, 0.6724)  4 O 1.95-1.99
Zn (0.6591, 0.9851, 0.1724)  4 O 1.95-1.99
Zn (0.6740, 0.6591, 0.6724)  4 O 1.95-1.99
Zn (0.9851, 0.3260, 0.6724)  4 O 1.95-1.99
As (0.0290, 0.6903, 0.7736)  4 O 1.71-1.72
As (0.3097, 0.3387, 0.7736)  4 O 1.71-1.72
As (0.3387, 0.0290, 0.2736)  4 O 1.71-1.72
As (0.6613, 0.9710, 0.7736)  4 O 1.71-1.72
As (0.6903, 0.6613, 0.2736)  4 O 1.71-1.72
As (0.9710, 0.3097, 0.2736)  4 O 1.71-1.72
O (0.0950, 0.2135, 0.2704)  1 As 1.72
O (0.1030, 0.5289, 0.2570)  1 As 1.72
O (0.1186, 0.9050, 0.2704)  1 As 1.72
O (0.1429, 0.7461, 0.9567)  1 As 1.71
O (0.1832, 0.7716, 0.6191)  1 As 1.72
O (0.2135, 0.1186, 0.7704)  1 As 1.72
O (0.2284, 0.4116, 0.6191)  1 As 1.72
O (0.2539, 0.3968, 0.9567)  1 As 1.71
O (0.3968, 0.1429, 0.4567)  1 As 1.71
O (0.4116, 0.1832, 0.1191)  1 As 1.72
O (0.4259, 0.8970, 0.2570)  1 As 1.72
O (0.4711, 0.5741, 0.2570)  1 As 1.72
O (0.5289, 0.4259, 0.7570)  1 As 1.72
O (0.5741, 0.1030, 0.7570)  1 As 1.72
O (0.5884, 0.8168, 0.6191)  1 As 1.72
O (0.6032, 0.8571, 0.9567)  1 As 1.71
O (0.7461, 0.6032, 0.4567)  1 As 1.71
O (0.7716, 0.5884, 0.1191)  1 As 1.72
O (0.7865, 0.8814, 0.2704)  1 As 1.72
O (0.8168, 0.2284, 0.1191)  1 As 1.72
O (0.8571, 0.2539, 0.4567)  1 As 1.71
O (0.8814, 0.0950, 0.7704)  1 As 1.72
O (0.8970, 0.4711, 0.7570)  1 As 1.72
O (0.9050, 0.7865, 0.7704)  1 As 1.72

Results
Energy relative to the lowest polymorph listed for this composition: 0.000 eV/atom
SG: P6_3, No. 173
Crystal system: hexagonal